# 1
First-principles (PBE-GGA) data for a relaxed structure of TaWC2, as listed in Alexandria via LeMat-Bulk.

Lattice parameters (Å, degrees): 3.1329 3.1329 15.3808 90.00 90.00 120.00
Last column: nearest neighbours and their distance in Å.
Space group R-3m (No. 166, hexagonal axes)
Symmetry-distinct sites (fractional):
Ta: 0.0000 0.0000 0.0000 [3 per cell]  6 C 2.23
W: 0.0000 0.0000 0.5000 [3 per cell]  6 C 2.21
C: 0.0000 0.0000 0.2487 [6 per cell]  3 W 2.21, 3 Ta 2.23

formation energy from the elements = -0.54 eV/f.u.
energy above the most stable polymorph in this dataset = 23 meV per atom
E_tot = -10.948 eV/atom

---

# 2
First-principles (PBE-GGA) data for a relaxed structure of GeSb2IBr, as listed in Alexandria via LeMat-Bulk.

Lattice parameters (Å, degrees): 5.6285 5.6285 5.6029 90.00 90.00 90.00
Last column: nearest neighbours and their distance in Å.
Space group P4/mmm (No. 123)
Symmetry-distinct sites (fractional):
Ge: 0.0000 0.0000 0.0000 [1 per cell]  8 Sb 3.97, 4 I 3.98
Sb: 0.0000 0.5000 0.5000 [2 per cell]  2 Br 2.81
I: 0.5000 0.5000 0.0000 [1 per cell]  2 Br 2.80
Br: 0.5000 0.5000 0.5000 [1 per cell]  2 I 2.80, 4 Sb 2.81

energy above the most stable polymorph in this dataset = 538 meV per atom
raw formation energy = 5.021 eV/f.u.
E_tot = -2.213 eV/atom

---

# 3
First-principles (PBE-GGA) data for a relaxed structure of SrMn2Si, as listed in Alexandria via LeMat-Bulk.

Lattice parameters (Å, degrees): 4.3937 4.3937 4.1600 90.00 90.00 90.00
Last column: nearest neighbours and their distance in Å.
Space group P4/mmm (No. 123)
Symmetry-distinct sites (fractional):
Sr: 0.0000 0.0000 0.0000 [1 per cell]  8 Mn 3.03, 4 Si 3.11
Mn: 0.0000 0.5000 0.5000 [2 per cell]  4 Sr 3.03, 4 Si 3.03, 4 Mn 3.11
Si: 0.5000 0.5000 0.0000 [1 per cell]  8 Mn 3.03, 4 Sr 3.11

raw formation energy = 2.202 eV/f.u.
E_tot = -5.811 eV/atom

---

# 4
First-principles (PBE-GGA) data for a relaxed structure of PtSe2Cl4, as listed in Alexandria via LeMat-Bulk.

Lattice parameters (Å, degrees): 12.4351 3.7196 8.6484 90.00 97.73 90.00
Last column: nearest neighbours and their distance in Å.
Space group C2/m (No. 12)
Symmetry-distinct sites (fractional):
Pt: 0.0000 0.0000 0.0000 [2 per cell]  4 Cl 2.46, 2 Se 2.56
Se: 0.1823 0.0000 0.8936 [4 per cell]  1 Cl 2.21
Cl: 0.0603 0.5000 0.1764 [4 per cell]  2 Pt 2.46
Cl: 0.1302 0.0000 0.6392 [4 per cell]  1 Se 2.21

raw formation energy = -1.449 eV/f.u.
E_tot = -3.121 eV/atom

---

# 5
First-principles (PBE-GGA) data for a relaxed structure of HfSBr3, as listed in Alexandria via LeMat-Bulk.

Lattice parameters (Å, degrees): 5.1768 5.1768 5.1768 90.00 90.00 90.00
Last column: nearest neighbours and their distance in Å.
Space group Pm-3m (No. 221)
Symmetry-distinct sites (fractional):
Hf: 0.0000 0.0000 0.0000 [1 per cell]  12 Br 3.66
S: 0.5000 0.5000 0.5000 [1 per cell]  6 Br 2.59
Br: 0.0000 0.5000 0.5000 [3 per cell]  2 S 2.59

energy above the most stable polymorph in this dataset = 1994 meV per atom
raw formation energy = 3.780 eV/f.u.
E_tot = -3.064 eV/atom

---

# 6
First-principles (PBE-GGA) data for a relaxed structure of TbPaMn2, as listed in Alexandria via LeMat-Bulk.

Lattice parameters (Å, degrees): 4.3179 4.3179 14.9495 90.00 90.00 120.00
Last column: nearest neighbours and their distance in Å.
Space group R-3m (No. 166, hexagonal axes)
Symmetry-distinct sites (fractional):
Tb: 0.0000 0.0000 0.0000 [3 per cell]  8 Mn 3.06-3.15
Pa: 0.0000 0.0000 0.5000 [3 per cell]  6 Mn 2.56
Mn: 0.0000 0.0000 0.2045 [6 per cell]  3 Pa 2.56, 3 Mn 2.74

formation energy from the elements = 0.25 eV/f.u.
energy above the most stable polymorph in this dataset = 0 meV per atom
E_tot = -8.053 eV/atom

---

# 7
First-principles (PBE-GGA) data for a relaxed structure of Mg2ZrTa, as listed in Alexandria via LeMat-Bulk.

Lattice parameters (Å, degrees): 7.9525 7.9525 5.4573 90.00 90.00 90.00
Last column: nearest neighbours and their distance in Å.
Space group I-42d (No. 122)
Symmetry-distinct sites (fractional):
Mg: 0.2393 0.2500 0.1250 [8 per cell]  2 Mg 2.73, 2 Ta 2.84, 2 Zr 2.95
Zr: 0.0000 0.0000 0.5000 [4 per cell]  2 Ta 2.73, 4 Mg 2.95
Ta: 0.0000 0.0000 0.0000 [4 per cell]  2 Zr 2.73, 4 Mg 2.84

formation energy from the elements = 2.83 eV/f.u.
energy above the most stable polymorph in this dataset = 612 meV per atom
E_tot = -5.190 eV/atom